[1]
Entry from the Alexandria database: an optimized crystal structure of Si2POs (PBE-GGA).

The value obtained for the uncorrected formation energy is 0.181 eV per atom. For the electronic total energy, the calculation gives -6.691 eV per atom.

The structure belongs to space group P4mm (No. 99); the cell edges are 2.903, 2.903 and 6.775 Å and the angles 90.00°, 90.00° and 90.00°. Symmetry generates all atoms from Si at (0.000, 0.000, 0.000), Si at (0.500, 0.500, 0.247), P at (0.500, 0.500, 0.694) and Os at (0.000, 0.000, 0.482).

---

[2]
Entry from the Alexandria database: an optimized crystal structure of Si2POs (PBE-GGA).

The value obtained for the uncorrected formation energy is 0.353 eV per atom. For the electronic total energy, the calculation gives -6.519 eV per atom.

The structure belongs to space group I-4m2 (No. 119); the cell edges are 4.615, 4.615 and 5.165 Å and the angles 90.00°, 90.00° and 90.00°. Symmetry generates all atoms from Si at (0.000, 0.000, 0.000), Si at (0.000, 0.500, 0.250), P at (0.000, 0.000, 0.500) and Os at (0.000, 0.500, 0.750).

---

[3]
Entry from the Alexandria database: an optimized crystal structure of SiP2Os (PBE-GGA).

The value obtained for the uncorrected formation energy is 0.288 eV per atom. For the electronic total energy, the calculation gives -6.580 eV per atom.

The structure belongs to space group P4/mmm (No. 123); the cell edges are 2.930, 2.930 and 6.494 Å and the angles 90.00°, 90.00° and 90.00°. Symmetry generates all atoms from Si at (0.000, 0.000, 0.000), P at (0.500, 0.500, 0.269) and Os at (0.000, 0.000, 0.500).

---

[4]
Entry from the Alexandria database: an optimized crystal structure of SiP2Os (PBE-GGA).

The value obtained for the uncorrected formation energy is 0.531 eV per atom. For the electronic total energy, the calculation gives -6.337 eV per atom.

The structure belongs to space group Cmmm (No. 65); the cell edges are 2.785, 4.842 and 8.801 Å and the angles 90.00°, 90.00° and 90.00°. Symmetry generates all atoms from Si at (0.000, 0.000, 0.000), P at (0.000, 0.500, 0.272) and Os at (0.000, 0.000, 0.500).

---

[5]
Entry from the Alexandria database: an optimized crystal structure of SiP3Os (PBE-GGA).

The value obtained for the uncorrected formation energy is 0.963 eV per atom. For the electronic total energy, the calculation gives -5.613 eV per atom. For the relative energy among the computed polymorphs, the calculation gives 0.000 eV/atom.

The structure belongs to space group Pm-3m (No. 221); the cell edges are 4.604, 4.604 and 4.604 Å and the angles 90.00°, 90.00° and 90.00°. Symmetry generates all atoms from Si at (0.000, 0.000, 0.000), P at (0.000, 0.500, 0.500) and Os at (0.500, 0.500, 0.500).

---

[6]
Entry from the Alexandria database: an optimized crystal structure of Si4P4Os (PBE-GGA).

The value obtained for the uncorrected formation energy is -0.326 eV per atom. For the electronic total energy, the calculation gives -6.388 eV per atom.

The structure belongs to space group P1 (No. 1); the cell edges are 4.980, 5.649 and 6.217 Å and the angles 85.72°, 68.37° and 70.96°. Symmetry generates all atoms from Si at (0.000, 0.000, 0.000), Si at (0.125, 0.249, 0.448), Si at (0.432, 0.432, 0.796), Si at (0.606, 0.630, 0.256), P at (0.104, 0.882, 0.326), P at (0.385, 0.066, 0.690), P at (0.530, 0.296, 0.131), P at (0.923, 0.670, 0.886) and Os at (0.763, 0.655, 0.567).

---

[7]
Entry from the Alexandria database: an optimized crystal structure of Si2POs (PBE-GGA).

The value obtained for the uncorrected formation energy is 0.456 eV per atom. For the electronic total energy, the calculation gives -6.415 eV per atom.

The structure belongs to space group Cmm2 (No. 35); the cell edges are 2.803, 4.808 and 9.026 Å and the angles 90.00°, 90.00° and 90.00°. Symmetry generates all atoms from Si at (0.000, 0.000, 0.000), Si at (0.000, 0.500, 0.242), P at (0.000, 0.000, 0.553) and Os at (0.000, 0.500, 0.768).

---

[8]
Entry from the Alexandria database: an optimized crystal structure of SiP2Os (PBE-GGA).

The value obtained for the uncorrected formation energy is 0.185 eV per atom. For the electronic total energy, the calculation gives -6.683 eV per atom.

The structure belongs to space group Cm (No. 8); the cell edges are 7.821, 2.913 and 6.164 Å and the angles 90.00°, 96.21° and 90.00°. Symmetry generates all atoms from Si at (0.000, 0.000, 0.000), P at (0.269, 0.000, 0.845), P at (0.455, 0.000, 0.371) and Os at (0.234, 0.500, 0.170).

---

In the order shown, the computed ρ values come out to 8.07, 8.38, 8.35, 7.84, 5.30, 4.61, 7.57, 6.67 g/cm³.